Crystalline LiYHo at its relaxed geometry. Source: the Alexandria database, functional GGA-PBE.

Cell: 9.1409 8.0929 7.3584 Å, 72.36 57.54 50.10°
With the nearest neighbours (Å) after each atom.
Positions (direct):
Li  0.0534  0.0534  0.6966  4 Y 2.73-2.93
Li  0.3034  0.3034  0.9466  4 Y 2.73-2.93
Li  0.6966  0.6966  0.0534  4 Y 2.73-2.93
Li  0.9466  0.9466  0.3034  4 Y 2.73-2.93
Y  0.0083  0.7417  0.0083  4 Li 2.73-2.93
Y  0.2583  0.9917  0.2583  4 Li 2.73-2.93
Y  0.7417  0.0083  0.7417  4 Li 2.73-2.93
Y  0.9917  0.2583  0.9917  4 Li 2.73-2.93
Ho  0.0000  0.5000  0.5000  4 Li 3.27-3.60, 4 Y 3.54-3.62
Ho  0.5000  0.0000  0.5000  4 Li 3.27-3.60, 4 Y 3.54-3.62
Ho  0.5000  0.5000  0.0000  4 Li 3.27-3.60, 4 Y 3.54-3.62
Ho  0.5000  0.5000  0.5000  4 Li 3.27-3.60, 4 Y 3.54-3.62

## Properties
Space group ... No. 70
Distance to the lowest polymorph of the same formula ... 380 meV/atom
ΔH_f (0 K) ... 0.467 eV per atom

Crystalline HfTiGa at its relaxed geometry. Source: the Alexandria database, functional GGA-PBE.

Cell: 4.5230 4.5230 3.1652 Å, 90.00 90.00 120.00°
With the nearest neighbours (Å) after each atom.
Positions (direct):
Hf  0.0000  0.0000  0.0000  3 Ga 2.88, 6 Ti 3.00-3.11, 2 Hf 3.17
Ti  0.6667  0.3333  0.4674  3 Ga 2.65
Ga  0.3333  0.6667  0.6147  3 Ti 2.65, 3 Hf 2.88

## Properties
Space group ... No. 156
Distance to the lowest polymorph of the same formula ... 250 meV/atom
ΔH_f (0 K) ... -0.131 eV per atom